PuTlFe: optimized geometry, PBE.

- uncorrected energy (eV/atom) = -6.48

abc: 6.619 6.619 6.619
angles: 90.00 90.00 90.00
Space group F-43m (No. 216)
Inequivalent atoms, fractional coordinates:
Pu (0.000, 0.000, 0.000) (multiplicity 4)
Tl (0.250, 0.250, 0.750) (multiplicity 4)
Fe (0.000, 0.000, 0.500) (multiplicity 4)